The following is a DFT calculation (PBE-GGA) of crystalline PrGa3PdAu at its relaxed geometry.

Unit cell a=6.1113 b=6.5907 c=7.4933 alpha=116.09 beta=90.00 gamma=90.00
Element x y z (fractional)
Pr (0.7500, 0.2112, 0.4224)
Pr (0.2500, 0.7888, 0.5776)
Ga (0.2500, 0.1974, 0.3949)
Ga (0.0000, 0.2974, 0.0000)
Ga (0.5000, 0.7026, 0.0000)
Ga (0.5000, 0.2974, 0.0000)
Ga (0.0000, 0.7026, 0.0000)
Ga (0.7500, 0.8026, 0.6051)
Pd (0.2500, 0.0193, 0.0387)
Pd (0.7500, 0.9807, 0.9613)
Au (0.2500, 0.3767, 0.7535)
Au (0.7500, 0.6233, 0.2465)

Calculated values
SG: No. 63

***

The following is a DFT calculation (PBE-GGA) of crystalline PrGa2Pd2Au at its relaxed geometry.

Unit cell a=4.7713 b=4.7713 c=5.7704 alpha=90.00 beta=90.00 gamma=90.00
Element x y z (fractional)
Pr (0.0000, 0.0000, 0.5000)
Ga (0.5000, 0.0000, 0.0000)
Ga (0.0000, 0.5000, 0.0000)
Pd (0.5000, 0.5000, 0.7449)
Pd (0.5000, 0.5000, 0.2551)
Au (0.0000, 0.0000, 0.0000)

Calculated values
SG: No. 123

***

Magnetic moment for the records above, in order: 0.0 0.0 μB/f.u.
Formation energy for the records above, in order: -38.0 -25.4 kJ per mole of atoms